The following is a DFT calculation (PBE-GGA) of Sm9Ho2Tl after structural relaxation.

Cell lengths 5.014, 5.014, 15.364 Å; angles 90.00, 90.00, 90.00 degrees
Space group P4/mmm (No. 123)
Asymmetric unit:
Sm: 0.000 0.000 0.000 [1 per cell]
Sm: 0.000 0.000 0.330 [2 per cell]
Sm: 0.000 0.500 0.163 [4 per cell]
Sm: 0.000 0.500 0.500 [2 per cell]
Ho: 0.500 0.500 0.332 [2 per cell]
Tl: 0.500 0.500 0.000 [1 per cell]

## Properties
- Formation enthalpy at 0 K: -44 meV/atom
- Crystal system: tetragonal